{
  "formula": "Nd2ZrSi4Pt3",
  "functional": "PBE",
  "state": "optimized geometry",
  "magmom_total_mub_per_fu": 0.00,
  "formation_energy_uncorrected_ev_per_fu": -10.3,
  "volume_a3_per_atom": 19.0,
  "cell": [[-0.014, -3.391, -2.560], [4.080, 0.703, -0.953], [2.938, -6.109, 8.077]],
  "species": ["Zr", "Si", "Si", "Si", "Si", "Pt", "Pt", "Pt", "Nd", "Nd"],
  "frac_coords": [[0.500, 0.500, 0.500], [0.000, 0.500, 0.347], [0.500, 0.000, 0.653], [0.000, 0.000, 0.000], [0.500, 0.500, 0.000], [0.000, 0.000, 0.500], [0.000, 0.500, 0.114], [0.500, 0.000, 0.886], [0.000, 0.500, 0.765], [0.500, 0.000, 0.235]]
}


{
  "formula": "Si3HgOs",
  "functional": "PBE",
  "state": "optimized geometry",
  "magmom_total_mub_per_fu": 0.00,
  "relative_energy_mev_per_atom": 0,
  "formation_energy_uncorrected_ev_per_fu": 2.2,
  "volume_a3_per_atom": 20.8,
  "cell": [[-0.034, 3.657, -2.952], [-2.655, -2.451, -3.006], [-3.878, 1.646, 2.084]],
  "species": ["Hg", "Si", "Si", "Si", "Os"],
  "frac_coords": [[0.500, 0.500, 0.500], [0.000, 0.000, 0.500], [0.500, 0.000, 0.000], [0.000, 0.500, 0.000], [0.000, 0.000, 0.000]]
}


{
  "formula": "PrSmPd",
  "functional": "PBE",
  "state": "optimized geometry",
  "magmom_total_mub_per_fu": 0.00,
  "relative_energy_mev_per_atom": 0,
  "volume_a3_per_atom": 28.2,
  "delta_e_f_ev_per_atom": -0.5297,
  "cell": [[-0.043, -0.682, -3.870], [7.656, -3.460, 0.524], [-6.379, -13.739, 2.491]],
  "species": ["Pd", "Pd", "Pd", "Pd", "Pd", "Pd", "Pr", "Pr", "Pr", "Pr", "Pr", "Pr", "Sm", "Sm", "Sm", "Sm", "Sm", "Sm"],
  "frac_coords": [[0.500, 0.068, 0.405], [0.000, 0.489, 0.250], [0.000, 0.511, 0.750], [0.500, 0.068, 0.095], [0.500, 0.932, 0.595], [0.500, 0.932, 0.905], [0.000, 0.802, 0.443], [0.000, 0.198, 0.557], [0.000, 0.802, 0.057], [0.000, 0.880, 0.750], [0.000, 0.120, 0.250], [0.000, 0.198, 0.943], [0.500, 0.247, 0.750], [0.500, 0.584, 0.889], [0.500, 0.416, 0.111], [0.500, 0.416, 0.389], [0.500, 0.584, 0.611], [0.500, 0.753, 0.250]]
}


{
  "formula": "Pm3NdRu8",
  "functional": "PBE",
  "state": "optimized geometry",
  "magmom_total_mub_per_fu": 0.00,
  "volume_a3_per_atom": 18.7,
  "delta_e_f_ev_per_atom": -0.1639,
  "cell": [[0.359, 2.563, 4.735], [2.378, -2.409, 4.203], [8.738, 3.488, 0.551]],
  "species": ["Ru", "Ru", "Ru", "Ru", "Ru", "Ru", "Ru", "Ru", "Pm", "Pm", "Pm", "Nd"],
  "frac_coords": [[0.437, 0.938, 0.688], [0.938, 0.437, 0.187], [0.437, 0.938, 0.187], [0.437, 0.437, 0.187], [0.938, 0.437, 0.688], [0.687, 0.687, 0.938], [0.187, 0.187, 0.438], [0.938, 0.938, 0.688], [0.500, 0.500, 0.500], [0.000, 0.000, 0.000], [0.375, 0.375, 0.874], [0.875, 0.875, 0.375]]
}